# 1
Hf2TlRh (PBE, optimized geometry); crystal system = cubic; symmetry = Fm-3m; density of states at the Fermi level = 4.6 states/eV per cell; uncorrected energy = -30.26 eV per cell; DFT formation energy = -0.1586 eV/atom; spin magnetization = 0.00 Bohr magnetons per cell
1.0
0.0000 3.4160 3.4160
3.4160 0.0000 3.4160
3.4160 3.4160 0.0000
Hf Rh Tl
2 1 1
direct
0.7500 0.7500 0.7500
0.2500 0.2500 0.2500
0.0000 0.0000 0.0000
0.5000 0.5000 0.5000

***

# 2
Rb3Mn2HgCl9 (PBE, optimized geometry); crystal system = trigonal; symmetry = P-3m1; density of states at the Fermi level = 1.3 states/eV per cell; E_form (uncorrected) = -1.344 eV per atom; uncorrected energy = -58.32 eV per cell; spin magnetization = 10.00 Bohr magnetons per cell
1.0
7.3124 0.0000 0.0000
-3.6562 6.3327 0.0000
0.0000 0.0000 8.9808
Cl Hg Rb Mn
9 1 3 2
direct
0.6547 0.8273 0.3234
0.1727 0.8273 0.3234
0.5000 0.5000 0.0000
0.8273 0.1727 0.6766
0.1727 0.3453 0.3234
0.0000 0.5000 0.0000
0.3453 0.1727 0.6766
0.8273 0.6547 0.6766
0.5000 0.0000 0.0000
0.0000 0.0000 0.5000
0.3333 0.6667 0.6672
0.0000 0.0000 0.0000
0.6667 0.3333 0.3328
0.3333 0.6667 0.1596
0.6667 0.3333 0.8404

***

# 3
TeIr (PBE, optimized geometry); crystal system = orthorhombic; symmetry = Pnma; density of states at the Fermi level = 5.7 states/eV per cell; E_form (uncorrected) = 0.127 eV per atom; uncorrected energy = -47.00 eV per cell; spin magnetization = 0.00 Bohr magnetons per cell
1.0
3.9585 0.0000 0.0000
0.0000 5.2194 0.0000
0.0000 0.0000 8.1304
Ir Te
4 4
direct
0.2500 0.4056 0.3989
0.7500 0.5944 0.6011
0.2500 0.0944 0.8989
0.7500 0.9056 0.1011
0.2500 0.9046 0.3178
0.7500 0.0954 0.6822
0.2500 0.5954 0.8178
0.7500 0.4046 0.1822

***

Q: Which of these has the lowest density of states at the Fermi level?
A: Rb3Mn2HgCl9

***

Q: Look up the spin magnetization of the third one.
A: 0.00 Bohr magnetons per cell

***

Q: Which formula does entry 3 have?
A: TeIr

***

Q: Which value of density of states at the Fermi level does entry 2 give?
A: 1.3 states/eV per cell